[1]
{"formula": "NdY2Bi", "functional": "PBE", "state": "optimized geometry", "cell": [[4.0782, 0.0000, 0.0000], [2.0391, 3.5318, 0.0000], [2.0391, 1.1773, 9.6561]], "species": ["Nd", "Y", "Y", "Bi"], "frac_coords": [[0.5005, 0.5005, 0.4984], [0.0688, 0.0688, 0.7935], [0.2644, 0.2644, 0.2069], [0.6662, 0.6662, 0.0013]], "formation_enthalpy_0k_kj_per_mol_fu": -81, "relative_energy_mev_per_atom": 226}



[2]
{"formula": "UH2Br5", "functional": "PBE", "state": "optimized geometry", "cell": [[7.6667, -0.1800, 0.9720], [-4.0647, 5.5121, 0.0131], [2.0442, 1.0741, 14.5582]], "species": ["U", "U", "H", "H", "H", "H", "Br", "Br", "Br", "Br", "Br", "Br", "Br", "Br", "Br", "Br"], "frac_coords": [[0.6962, 0.5153, 0.7408], [0.3038, 0.4847, 0.2592], [0.0083, 0.4236, 0.2993], [0.9433, 0.9334, 0.1549], [0.9917, 0.5764, 0.7007], [0.0567, 0.0666, 0.8451], [0.8821, 0.7857, 0.8931], [0.9328, 0.9579, 0.6366], [0.3631, 0.7218, 0.4039], [0.4444, 0.8667, 0.1355], [0.7203, 0.5727, 0.2026], [0.2797, 0.4273, 0.7974], [0.6369, 0.2782, 0.5961], [0.5556, 0.1333, 0.8645], [0.1179, 0.2143, 0.1069], [0.0672, 0.0421, 0.3634]], "energy_ry_per_atom": -0.292}



[3]
{"formula": "ZnWBr2", "functional": "PBE", "state": "optimized geometry", "cell": [[-3.0453, -4.1400, -2.6651], [5.4833, -1.8407, -0.2491], [0.3222, -2.7334, 1.4640]], "species": ["Br", "Br", "W", "Zn"], "frac_coords": [[0.0000, 0.0000, 0.0000], [0.5000, 0.5000, 0.0000], [0.5000, 0.0000, 0.5000], [0.0000, 0.5000, 0.5000]], "relative_energy_mev_per_atom": 788, "formation_energy_uncorrected_ev_per_atom": 0.9363}



[4]
{"formula": "AsCl4", "functional": "PBE", "state": "optimized geometry", "cell": [[-3.1242, -0.2523, 3.8954], [1.8279, -4.5032, 1.1743], [3.4492, 2.1579, 2.9061]], "species": ["As", "Cl", "Cl", "Cl", "Cl"], "frac_coords": [[0.5000, 0.5000, 0.5000], [0.0000, 0.0000, 0.0000], [0.5000, 0.0000, 0.5000], [0.0000, 0.5000, 0.5000], [0.5000, 0.5000, 0.0000]], "relative_energy_mev_per_atom": 402, "formation_energy_uncorrected_ev_per_atom": -0.0936}



[5]
{"formula": "CaTaPb2", "functional": "PBE", "state": "optimized geometry", "cell": [[-1.3675, -2.7348, -0.9957], [2.6940, -0.7632, -1.5815], [3.6095, -4.9053, 8.5154]], "species": ["Pb", "Pb", "Ca", "Ta"], "frac_coords": [[0.0000, 0.0000, 0.9880], [0.5000, 0.5000, 0.2841], [0.5000, 0.5000, 0.7280], [0.0000, 0.0000, 0.4999]], "formation_enthalpy_0k_kj_per_mol_fu": 156}



[6]
{"formula": "TaSnCl2", "functional": "PBE", "state": "optimized geometry", "cell": [[-7.1043, 2.0428, 6.6993], [-5.6911, 4.9597, 6.5220], [-7.9670, 4.1248, 4.3631]], "species": ["Cl", "Cl", "Sn", "Ta"], "frac_coords": [[0.9200, 0.9200, 0.9200], [0.0800, 0.0800, 0.0800], [0.5000, 0.5000, 0.5000], [0.0000, 0.0000, 0.0000]], "relative_energy_mev_per_atom": 284, "formation_energy_uncorrected_ev_per_atom": -0.2072}



Please write out number 3 again, unchanged.
{"formula": "ZnWBr2", "functional": "PBE", "state": "optimized geometry", "cell": [[-3.0453, -4.1400, -2.6651], [5.4833, -1.8407, -0.2491], [0.3222, -2.7334, 1.4640]], "species": ["Br", "Br", "W", "Zn"], "frac_coords": [[0.0000, 0.0000, 0.0000], [0.5000, 0.5000, 0.0000], [0.5000, 0.0000, 0.5000], [0.0000, 0.5000, 0.5000]], "relative_energy_mev_per_atom": 788, "formation_energy_uncorrected_ev_per_atom": 0.9363}